First-principles (PBE-GGA) data for crystalline V3BP at its relaxed geometry, as listed in the Alexandria database.

## Properties
E   -0.2905 hartree per atom
DOS at the Fermi energy   7.17 states/eV/cell
Offset from the most stable computed form   238 meV/atom
Spin magnetization   0.98 μB per formula unit
Calculated formation energy   -7 kJ/mol of formula units

Structure (extended XYZ):
```
5
Lattice="3.975 0.000 0.000 0.000 3.975 0.000 0.000 0.000 3.975" Properties=species:S:1:pos:R:3 pbc="T T T"
V 0.000 0.000 1.988
V 0.000 1.988 0.000
V 1.988 0.000 0.000
B 0.000 0.000 0.000
P 1.988 1.988 1.988
```

First-principles (PBE-GGA) data for crystalline VBP at its relaxed geometry, as listed in the Alexandria database.

## Properties
E   -0.2715 hartree per atom
DOS at the Fermi energy   1.09 states/eV/cell
Offset from the most stable computed form   120 meV/atom
Spin magnetization   0.00 μB per formula unit
Calculated formation energy   -92 kJ/mol of formula units

Structure (extended XYZ):
```
3
Lattice="-1.497 1.497 3.637 1.497 -1.497 3.637 1.497 1.497 -3.637" Properties=species:S:1:pos:R:3 pbc="T T T"
V 0.000 0.000 0.000
B 0.000 1.497 1.818
P 1.497 0.000 1.818
```

First-principles (PBE-GGA) data for crystalline VBP2 at its relaxed geometry, as listed in the Alexandria database.

## Properties
E   -0.2265 hartree per atom
DOS at the Fermi energy   3.32 states/eV/cell
Spin magnetization   0.00 μB per formula unit
Calculated formation energy   189 kJ/mol of formula units

Structure (extended XYZ):
```
4
Lattice="1.445 0.834 7.173 -1.445 0.834 7.173 0.000 -1.669 7.173" Properties=species:S:1:pos:R:3 pbc="T T T"
V 0.000 0.000 0.000
B 0.000 0.000 10.760
P 0.000 0.000 2.369
P 0.000 0.000 19.151
```

First-principles (PBE-GGA) data for crystalline VBP at its relaxed geometry, as listed in the Alexandria database.

## Properties
E   -0.2752 hartree per atom
DOS at the Fermi energy   1.90 states/eV/cell
Offset from the most stable computed form   19 meV/atom
Spin magnetization   0.00 μB per formula unit
Calculated formation energy   -122 kJ/mol of formula units

Structure (extended XYZ):
```
3
Lattice="1.555 0.898 3.904 -1.555 0.898 3.904 0.000 -1.796 3.904" Properties=species:S:1:pos:R:3 pbc="T T T"
V 0.000 0.000 0.000
B 0.000 0.000 9.288
P 0.000 0.000 2.328
```

First-principles (PBE-GGA) data for crystalline VBP at its relaxed geometry, as listed in the Alexandria database.

## Properties
E   -0.2741 hartree per atom
DOS at the Fermi energy   2.99 states/eV/cell
Offset from the most stable computed form   48 meV/atom
Spin magnetization   0.00 μB per formula unit
Calculated formation energy   -113 kJ/mol of formula units

Structure (extended XYZ):
```
6
Lattice="4.303 -1.495 0.000 4.303 1.495 0.000 -0.415 0.000 5.239" Properties=species:S:1:pos:R:3 pbc="T T T"
V 1.153 0.000 0.787
V 7.037 0.000 4.452
B 2.359 0.000 2.657
B 5.832 0.000 2.581
P 3.600 0.000 1.136
P 4.590 0.000 4.102
```

First-principles (PBE-GGA) data for crystalline V8BP2 at its relaxed geometry, as listed in the Alexandria database.

## Properties
E   -0.3154 hartree per atom
DOS at the Fermi energy   6.39 states/eV/cell
Spin magnetization   0.00 μB per formula unit
Calculated formation energy   -383 kJ/mol of formula units

Structure (extended XYZ):
```
11
Lattice="7.160 -1.856 0.000 7.160 1.856 0.000 -2.027 0.000 5.171" Properties=species:S:1:pos:R:3 pbc="T T T"
V -0.180 0.000 1.514
V 1.394 0.000 4.163
V 3.846 0.000 2.824
V 5.867 0.000 0.429
V 6.427 0.000 4.742
V 8.447 0.000 2.347
V 10.900 0.000 1.008
V 12.474 0.000 3.657
B 6.147 0.000 2.586
P 2.153 0.000 0.989
P 10.140 0.000 4.182
```

First-principles (PBE-GGA) data for crystalline ZrV2BP at its relaxed geometry, as listed in the Alexandria database.

## Properties
E   -0.2904 hartree per atom
DOS at the Fermi energy   4.83 states/eV/cell
Spin magnetization   0.00 μB per formula unit
Calculated formation energy   -61 kJ/mol of formula units

Structure (extended XYZ):
```
5
Lattice="3.982 0.000 0.000 0.000 3.982 0.000 0.000 0.000 4.611" Properties=species:S:1:pos:R:3 pbc="T T T"
Zr 0.000 0.000 0.000
V 0.000 1.991 2.305
V 1.991 0.000 2.305
B 0.000 0.000 2.305
P 1.991 1.991 0.000
```

First-principles (PBE-GGA) data for crystalline BP2W at its relaxed geometry, as listed in the Alexandria database.

## Properties
E   -0.2687 hartree per atom
DOS at the Fermi energy   7.89 states/eV/cell
Spin magnetization   0.00 μB per formula unit
Calculated formation energy   116 kJ/mol of formula units

Structure (extended XYZ):
```
8
Lattice="-2.653 2.653 4.307 2.653 -2.653 4.307 2.653 2.653 -4.307" Properties=species:S:1:pos:R:3 pbc="T T T"
B 0.000 0.000 0.000
B 0.000 2.653 2.153
P 3.979 0.972 -1.077
P 0.972 1.326 1.077
P -1.326 1.681 3.230
P 1.681 1.326 5.383
W 2.653 0.000 2.153
W 0.000 0.000 4.307
```

First-principles (PBE-GGA) data for crystalline BP3W at its relaxed geometry, as listed in the Alexandria database.

## Properties
E   -0.2133 hartree per atom
DOS at the Fermi energy   3.06 states/eV/cell
Offset from the most stable computed form   333 meV/atom
Spin magnetization   0.00 μB per formula unit
Calculated formation energy   660 kJ/mol of formula units

Structure (extended XYZ):
```
5
Lattice="4.697 0.000 0.000 0.000 4.697 0.000 0.000 0.000 4.697" Properties=species:S:1:pos:R:3 pbc="T T T"
B 0.000 0.000 0.000
P 0.000 2.348 2.348
P 2.348 0.000 2.348
P 2.348 2.348 0.000
W 2.348 2.348 2.348
```

First-principles (PBE-GGA) data for crystalline BPW3 at its relaxed geometry, as listed in the Alexandria database.

## Properties
E   -0.3493 hartree per atom
DOS at the Fermi energy   4.60 states/eV/cell
Offset from the most stable computed form   0 meV/atom
Spin magnetization   0.00 μB per formula unit
Calculated formation energy   330 kJ/mol of formula units

Structure (extended XYZ):
```
5
Lattice="4.173 0.000 0.000 0.000 4.173 0.000 0.000 0.000 4.173" Properties=species:S:1:pos:R:3 pbc="T T T"
B 0.000 0.000 0.000
P 2.087 2.087 2.087
W 0.000 0.000 2.087
W 0.000 2.087 0.000
W 2.087 0.000 0.000
```

First-principles (PBE-GGA) data for crystalline B3PW at its relaxed geometry, as listed in the Alexandria database.

## Properties
E   -0.2156 hartree per atom
DOS at the Fermi energy   5.08 states/eV/cell
Offset from the most stable computed form   151 meV/atom
Spin magnetization   0.00 μB per formula unit
Calculated formation energy   874 kJ/mol of formula units

Structure (extended XYZ):
```
5
Lattice="4.202 0.000 0.000 0.000 4.202 0.000 0.000 0.000 4.202" Properties=species:S:1:pos:R:3 pbc="T T T"
B 0.000 0.000 2.101
B 0.000 2.101 0.000
B 2.101 0.000 0.000
P 2.101 2.101 2.101
W 0.000 0.000 0.000
```

First-principles (PBE-GGA) data for crystalline BP3W at its relaxed geometry, as listed in the Alexandria database.

## Properties
E   -0.2255 hartree per atom
DOS at the Fermi energy   4.57 states/eV/cell
Offset from the most stable computed form   0 meV/atom
Spin magnetization   0.00 μB per formula unit
Calculated formation energy   500 kJ/mol of formula units

Structure (extended XYZ):
```
5
Lattice="4.043 0.000 0.000 0.000 4.043 0.000 0.000 0.000 4.043" Properties=species:S:1:pos:R:3 pbc="T T T"
B 0.000 0.000 0.000
P 0.000 0.000 2.021
P 0.000 2.021 0.000
P 2.021 0.000 0.000
W 2.021 2.021 2.021
```

First-principles (PBE-GGA) data for crystalline B2PW at its relaxed geometry, as listed in the Alexandria database.

## Properties
E   -0.2695 hartree per atom
DOS at the Fermi energy   2.71 states/eV/cell
Spin magnetization   0.00 μB per formula unit
Calculated formation energy   230 kJ/mol of formula units

Structure (extended XYZ):
```
8
Lattice="-2.548 2.548 3.858 2.548 -2.548 3.858 2.548 2.548 -3.858" Properties=species:S:1:pos:R:3 pbc="T T T"
B 3.822 1.074 -0.964
B 1.074 1.274 0.964
B -1.274 1.474 2.893
B 1.474 1.274 4.822
P 0.000 0.000 0.000
P 0.000 2.548 1.929
W 2.548 0.000 1.929
W 0.000 0.000 3.858
```

First-principles (PBE-GGA) data for crystalline B3PW at its relaxed geometry, as listed in the Alexandria database.

## Properties
E   -0.2212 hartree per atom
DOS at the Fermi energy   3.20 states/eV/cell
Offset from the most stable computed form   0 meV/atom
Spin magnetization   0.00 μB per formula unit
Calculated formation energy   801 kJ/mol of formula units

Structure (extended XYZ):
```
5
Lattice="3.784 0.000 0.000 0.000 3.784 0.000 0.000 0.000 3.784" Properties=species:S:1:pos:R:3 pbc="T T T"
B 0.000 0.000 1.892
B 0.000 1.892 0.000
B 1.892 0.000 0.000
P 0.000 0.000 0.000
W 1.892 1.892 1.892
```

First-principles (PBE-GGA) data for crystalline Y2BP at its relaxed geometry, as listed in the Alexandria database.

## Properties
E   -0.2390 hartree per atom
DOS at the Fermi energy   5.31 states/eV/cell
Offset from the most stable computed form   373 meV/atom
Spin magnetization   0.00 μB per formula unit
Calculated formation energy   -97 kJ/mol of formula units

Structure (extended XYZ):
```
4
Lattice="0.000 3.368 3.368 3.368 0.000 3.368 3.368 3.368 0.000" Properties=species:S:1:pos:R:3 pbc="T T T"
Y 1.684 1.684 1.684
Y 5.051 5.051 5.051
B 0.000 0.000 0.000
P 3.368 3.368 3.368
```

First-principles (PBE-GGA) data for crystalline YB3P at its relaxed geometry, as listed in the Alexandria database.

## Properties
E   -0.2079 hartree per atom
DOS at the Fermi energy   1.58 states/eV/cell
Offset from the most stable computed form   0 meV/atom
Spin magnetization   0.00 μB per formula unit
Calculated formation energy   349 kJ/mol of formula units

Structure (extended XYZ):
```
5
Lattice="3.944 0.000 0.000 0.000 3.944 0.000 0.000 0.000 3.944" Properties=species:S:1:pos:R:3 pbc="T T T"
Y 0.000 0.000 0.000
B 0.000 1.972 1.972
B 1.972 0.000 1.972
B 1.972 1.972 0.000
P 1.972 1.972 1.972
```

First-principles (PBE-GGA) data for crystalline YB3P at its relaxed geometry, as listed in the Alexandria database.

## Properties
E   -0.1416 hartree per atom
DOS at the Fermi energy   3.48 states/eV/cell
Offset from the most stable computed form   1803 meV/atom
Spin magnetization   0.00 μB per formula unit
Calculated formation energy   1219 kJ/mol of formula units

Structure (extended XYZ):
```
5
Lattice="4.664 0.000 0.000 0.000 4.664 0.000 0.000 0.000 4.664" Properties=species:S:1:pos:R:3 pbc="T T T"
Y 0.000 0.000 0.000
B 0.000 0.000 2.332
B 0.000 2.332 0.000
B 2.332 0.000 0.000
P 2.332 2.332 2.332
```

First-principles (PBE-GGA) data for crystalline Y2BP at its relaxed geometry, as listed in the Alexandria database.

## Properties
E   -0.2527 hartree per atom
DOS at the Fermi energy   3.42 states/eV/cell
Offset from the most stable computed form   0 meV/atom
Spin magnetization   0.00 μB per formula unit
Calculated formation energy   -241 kJ/mol of formula units

Structure (extended XYZ):
```
4
Lattice="1.922 1.110 6.553 -1.922 1.110 6.553 0.000 -2.219 6.553" Properties=species:S:1:pos:R:3 pbc="T T T"
Y 0.000 0.000 4.876
Y 0.000 0.000 14.782
B 0.000 0.000 9.829
P 0.000 0.000 0.000
```

First-principles (PBE-GGA) data for crystalline YB2P at its relaxed geometry, as listed in the Alexandria database.

## Properties
E   -0.2329 hartree per atom
DOS at the Fermi energy   3.12 states/eV/cell
Spin magnetization   0.00 μB per formula unit
Calculated formation energy   -12 kJ/mol of formula units

Structure (extended XYZ):
```
8
Lattice="-1.914 1.914 7.502 1.914 -1.914 7.502 1.914 1.914 -7.502" Properties=species:S:1:pos:R:3 pbc="T T T"
Y 1.914 0.957 1.875
Y 0.000 0.957 5.626
B 0.000 0.000 0.000
B 0.957 0.957 -3.751
B 0.957 -0.957 3.751
B 0.000 1.914 0.000
P 1.914 -0.957 5.626
P 0.000 2.871 1.875
```

First-principles (PBE-GGA) data for crystalline Y2BP at its relaxed geometry, as listed in the Alexandria database.

## Properties
E   -0.2419 hartree per atom
DOS at the Fermi energy   3.16 states/eV/cell
Offset from the most stable computed form   296 meV/atom
Spin magnetization   0.00 μB per formula unit
Calculated formation energy   -127 kJ/mol of formula units

Structure (extended XYZ):
```
8
Lattice="-3.522 3.522 3.467 3.522 -3.522 3.467 3.522 3.522 -3.467" Properties=species:S:1:pos:R:3 pbc="T T T"
Y 1.761 1.600 -0.867
Y 1.922 -1.761 4.334
Y 1.761 1.922 2.600
Y 1.600 5.282 0.867
B 0.000 0.000 0.000
B 0.000 3.522 1.734
P 3.522 0.000 1.734
P 0.000 0.000 3.467
```